No. 1
This record from Alexandria describes an optimized crystal structure of BaHfPF2. The functional is PBE.

Summary:
magnetization	1.00	μB per formula unit
uncorrected formation energy	-1.150	eV/atom
energy	-26.78	eV per formula unit
DOS at the Fermi energy	2.40	states/eV/cell

Structure (CIF):
```
data_BaHfPF2
_chemical_formula_sum 'Ba1 Hf1 P1 F2'
_cell_length_a 4.588
_cell_length_b 4.588
_cell_length_c 7.086
_cell_angle_alpha 90.00
_cell_angle_beta 90.00
_cell_angle_gamma 90.00
_symmetry_space_group_name_H-M 'P 4/m m m'
_symmetry_Int_Tables_number 123
_symmetry_space_group_name_Hall '-P 4 2'
loop_
_atom_site_label
_atom_site_type_symbol
_atom_site_fract_x
_atom_site_fract_y
_atom_site_fract_z
Ba1 Ba 0.000 0.000 0.000
Hf1 Hf 0.500 0.500 0.500
P1 P 0.000 0.000 0.500
F1 F 0.000 0.500 0.000
```

---

No. 2
This record from Alexandria describes an optimized crystal structure of Tl6In12Sn. The functional is PBE.

Summary:
calculated formation energy	88	kJ/mol of formula units
magnetization	0.00	μB per formula unit
energy	-50.15	eV per formula unit
DOS at the Fermi energy	22.48	states/eV/cell

Structure (CIF):
```
data_Tl6In12Sn
_chemical_formula_sum 'Tl18 In36 Sn3'
_cell_length_a 13.1333
_cell_length_b 13.1333
_cell_length_c 11.1448
_cell_angle_alpha 90.00
_cell_angle_beta 90.00
_cell_angle_gamma 120.00
_symmetry_space_group_name_H-M 'R -3'
_symmetry_Int_Tables_number 148
_symmetry_space_group_name_Hall '-R 3'
loop_
_atom_site_label
_atom_site_type_symbol
_atom_site_fract_x
_atom_site_fract_y
_atom_site_fract_z
Tl1 Tl 0.0848 0.9134 0.2462
In1 In 0.0007 0.7451 0.5007
In2 In 0.0641 0.5328 0.6207
Sn1 Sn 0.0000 0.0000 0.5000
```

---

No. 3
This record from Alexandria describes an optimized crystal structure of BaLi2Zn2. The functional is PBE.

Summary:
calculated formation energy	-49	kJ/mol of formula units
magnetization	0.00	μB per formula unit
energy	-8.80	eV per formula unit
DOS at the Fermi energy	12.90	states/eV/cell
distance to the lowest polymorph of the same formula	0.003	eV per atom

Structure (CIF):
```
data_BaLi2Zn2
_chemical_formula_sum 'Ba4 Li8 Zn8'
_cell_length_a 4.900
_cell_length_b 4.900
_cell_length_c 21.039
_cell_angle_alpha 90.00
_cell_angle_beta 90.00
_cell_angle_gamma 90.00
_symmetry_space_group_name_H-M 'I 4/m m m'
_symmetry_Int_Tables_number 139
_symmetry_space_group_name_Hall '-I 4 2'
loop_
_atom_site_label
_atom_site_type_symbol
_atom_site_fract_x
_atom_site_fract_y
_atom_site_fract_z
Ba1 Ba 0.000 0.000 0.132
Li1 Li 0.000 0.000 0.307
Li2 Li 0.000 0.500 0.000
Zn1 Zn 0.000 0.000 0.438
Zn2 Zn 0.000 0.500 0.250
```

---

No. 4
This record from Alexandria describes an optimized crystal structure of KAgRh. The functional is PBE.

Summary:
calculated formation energy	380	kJ/mol of formula units
magnetization	0.43	μB per formula unit
energy	-7.36	eV per formula unit
DOS at the Fermi energy	32.22	states/eV/cell
distance to the lowest polymorph of the same formula	0.909	eV per atom

Structure (CIF):
```
data_KAgRh
_chemical_formula_sum 'K4 Ag4 Rh4'
_cell_length_a 6.806
_cell_length_b 6.806
_cell_length_c 6.806
_cell_angle_alpha 90.00
_cell_angle_beta 90.00
_cell_angle_gamma 90.00
_symmetry_space_group_name_H-M 'F -4 3 m'
_symmetry_Int_Tables_number 216
_symmetry_space_group_name_Hall 'F -4 2 3'
loop_
_atom_site_label
_atom_site_type_symbol
_atom_site_fract_x
_atom_site_fract_y
_atom_site_fract_z
K1 K 0.000 0.000 0.000
Ag1 Ag 0.250 0.250 0.750
Rh1 Rh 0.250 0.250 0.250
```

---

No. 5
This record from Alexandria describes an optimized crystal structure of Al3VIn. The functional is PBE.

Summary:
calculated formation energy	281	kJ/mol of formula units
magnetization	2.80	μB per formula unit
energy	-20.17	eV per formula unit
DOS at the Fermi energy	2.60	states/eV/cell
distance to the lowest polymorph of the same formula	0.000	eV per atom

Structure (CIF):
```
data_Al3VIn
_chemical_formula_sum 'Al3 V1 In1'
_cell_length_a 4.927
_cell_length_b 4.927
_cell_length_c 4.927
_cell_angle_alpha 90.00
_cell_angle_beta 90.00
_cell_angle_gamma 90.00
_symmetry_space_group_name_H-M 'P m -3 m'
_symmetry_Int_Tables_number 221
_symmetry_space_group_name_Hall '-P 4 2 3'
loop_
_atom_site_label
_atom_site_type_symbol
_atom_site_fract_x
_atom_site_fract_y
_atom_site_fract_z
Al1 Al 0.000 0.000 0.500
V1 V 0.000 0.000 0.000
In1 In 0.500 0.500 0.500
```

---

No. 6
This record from Alexandria describes an optimized crystal structure of Hf3NbAu. The functional is PBE.

Summary:
calculated formation energy	485	kJ/mol of formula units
magnetization	2.11	μB per formula unit
energy	-38.18	eV per formula unit
DOS at the Fermi energy	5.94	states/eV/cell
distance to the lowest polymorph of the same formula	0.003	eV per atom

Structure (CIF):
```
data_Hf3NbAu
_chemical_formula_sum 'Hf3 Nb1 Au1'
_cell_length_a 5.063
_cell_length_b 5.063
_cell_length_c 5.063
_cell_angle_alpha 90.00
_cell_angle_beta 90.00
_cell_angle_gamma 90.00
_symmetry_space_group_name_H-M 'P m -3 m'
_symmetry_Int_Tables_number 221
_symmetry_space_group_name_Hall '-P 4 2 3'
loop_
_atom_site_label
_atom_site_type_symbol
_atom_site_fract_x
_atom_site_fract_y
_atom_site_fract_z
Hf1 Hf 0.000 0.000 0.500
Nb1 Nb 0.500 0.500 0.500
Au1 Au 0.000 0.000 0.000
```

---

No. 7
This record from Alexandria describes an optimized crystal structure of Hf2ZrAu2. The functional is PBE.

Summary:
calculated formation energy	-180	kJ/mol of formula units
magnetization	0.00	μB per formula unit
energy	-36.88	eV per formula unit
DOS at the Fermi energy	15.24	states/eV/cell
distance to the lowest polymorph of the same formula	0.000	eV per atom

Structure (CIF):
```
data_Hf2ZrAu2
_chemical_formula_sum 'Hf4 Zr2 Au4'
_cell_length_a 7.817
_cell_length_b 7.817
_cell_length_c 3.395
_cell_angle_alpha 90.00
_cell_angle_beta 90.00
_cell_angle_gamma 90.00
_symmetry_space_group_name_H-M 'P 4/m b m'
_symmetry_Int_Tables_number 127
_symmetry_space_group_name_Hall '-P 4 2ab'
loop_
_atom_site_label
_atom_site_type_symbol
_atom_site_fract_x
_atom_site_fract_y
_atom_site_fract_z
Hf1 Hf 0.171 0.329 0.000
Zr1 Zr 0.000 0.000 0.500
Au1 Au 0.128 0.628 0.500
```

---

No. 8
This record from Alexandria describes an optimized crystal structure of Er5Co4Rh. The functional is PBE.

Summary:
calculated formation energy	-332	kJ/mol of formula units
magnetization	1.50	μB per formula unit
energy	-62.03	eV per formula unit
DOS at the Fermi energy	4.61	states/eV/cell

Structure (CIF):
```
data_Er5Co4Rh
_chemical_formula_sum 'Er5 Co4 Rh1'
_cell_length_a 3.322
_cell_length_b 3.322
_cell_length_c 16.653
_cell_angle_alpha 90.00
_cell_angle_beta 90.00
_cell_angle_gamma 90.00
_symmetry_space_group_name_H-M 'P 4/m m m'
_symmetry_Int_Tables_number 123
_symmetry_space_group_name_Hall '-P 4 2'
loop_
_atom_site_label
_atom_site_type_symbol
_atom_site_fract_x
_atom_site_fract_y
_atom_site_fract_z
Er1 Er 0.000 0.000 0.000
Er2 Er 0.000 0.000 0.197
Er3 Er 0.000 0.000 0.395
Co1 Co 0.500 0.500 0.099
Co2 Co 0.500 0.500 0.297
Rh1 Rh 0.500 0.500 0.500
```

---

No. 9
This record from Alexandria describes an optimized crystal structure of ZrTlV2Os. The functional is PBE.

Summary:
calculated formation energy	491	kJ/mol of formula units
magnetization	3.34	μB per formula unit
energy	-35.29	eV per formula unit
DOS at the Fermi energy	9.03	states/eV/cell

Structure (CIF):
```
data_ZrTlV2Os
_chemical_formula_sum 'Zr1 Tl1 V2 Os1'
_cell_length_a 4.659
_cell_length_b 4.659
_cell_length_c 5.148
_cell_angle_alpha 90.00
_cell_angle_beta 90.00
_cell_angle_gamma 90.00
_symmetry_space_group_name_H-M 'P 4/m m m'
_symmetry_Int_Tables_number 123
_symmetry_space_group_name_Hall '-P 4 2'
loop_
_atom_site_label
_atom_site_type_symbol
_atom_site_fract_x
_atom_site_fract_y
_atom_site_fract_z
Zr1 Zr 0.000 0.000 0.000
Tl1 Tl 0.500 0.500 0.000
V1 V 0.000 0.500 0.500
Os1 Os 0.500 0.500 0.500
```

---

No. 10
This record from Alexandria describes an optimized crystal structure of Ba2TeWI. The functional is PBE.

Summary:
magnetization	5.55	μB per formula unit
uncorrected formation energy	0.727	eV/atom
energy	-17.86	eV per formula unit
DOS at the Fermi energy	2.80	states/eV/cell

Structure (CIF):
```
data_Ba2TeWI
_chemical_formula_sum 'Ba2 Te1 W1 I1'
_cell_length_a 6.613
_cell_length_b 6.613
_cell_length_c 6.203
_cell_angle_alpha 90.00
_cell_angle_beta 90.00
_cell_angle_gamma 90.00
_symmetry_space_group_name_H-M 'P 4/m m m'
_symmetry_Int_Tables_number 123
_symmetry_space_group_name_Hall '-P 4 2'
loop_
_atom_site_label
_atom_site_type_symbol
_atom_site_fract_x
_atom_site_fract_y
_atom_site_fract_z
Ba1 Ba 0.000 0.500 0.000
Te1 Te 0.000 0.000 0.000
W1 W 0.500 0.500 0.500
I1 I 0.000 0.000 0.500
```

---

No. 11
This record from Alexandria describes an optimized crystal structure of LiScPb. The functional is PBE.

Summary:
calculated formation energy	-43	kJ/mol of formula units
magnetization	0.00	μB per formula unit
energy	-12.40	eV per formula unit
DOS at the Fermi energy	5.19	states/eV/cell

Structure (CIF):
```
data_LiScPb
_chemical_formula_sum 'Li2 Sc2 Pb2'
_cell_length_a 3.496
_cell_length_b 3.496
_cell_length_c 11.005
_cell_angle_alpha 90.00
_cell_angle_beta 90.00
_cell_angle_gamma 90.00
_symmetry_space_group_name_H-M 'I 4 m m'
_symmetry_Int_Tables_number 107
_symmetry_space_group_name_Hall 'I 4 -2'
loop_
_atom_site_label
_atom_site_type_symbol
_atom_site_fract_x
_atom_site_fract_y
_atom_site_fract_z
Li1 Li 0.000 0.000 0.000
Sc1 Sc 0.000 0.000 0.319
Pb1 Pb 0.000 0.000 0.636
```

---

No. 12
This record from Alexandria describes an optimized crystal structure of NaCa2TbO4. The functional is PBE.

Summary:
magnetization	0.00	μB per formula unit
uncorrected formation energy	-2.862	eV/atom
energy	-52.68	eV per formula unit
DOS at the Fermi energy	0.00	states/eV/cell

Structure (CIF):
```
data_NaCa2TbO4
_chemical_formula_sum 'Na2 Ca4 Tb2 O8'
_cell_length_a 4.753
_cell_length_b 4.753
_cell_length_c 9.959
_cell_angle_alpha 90.00
_cell_angle_beta 90.00
_cell_angle_gamma 90.00
_symmetry_space_group_name_H-M 'I 4/m m m'
_symmetry_Int_Tables_number 139
_symmetry_space_group_name_Hall '-I 4 2'
loop_
_atom_site_label
_atom_site_type_symbol
_atom_site_fract_x
_atom_site_fract_y
_atom_site_fract_z
Na1 Na 0.000 0.000 0.000
Ca1 Ca 0.000 0.500 0.250
Tb1 Tb 0.000 0.000 0.500
O1 O 0.000 0.000 0.271
O2 O 0.000 0.500 0.000
```